(1)
Material: Zn2CuSbPd
Method: DFT, GGA-PBE
State: optimized geometry

Space-group type: P4/mmm (123)
Formation energy from raw total energies, eV/atom: 0.786

Cell lengths 5.159, 4.744, 5.159 Å; angles 90.00, 90.00, 90.00 degrees
Fractional positions:
Sb  0.000  0.000  0.000
Zn  0.000  0.000  0.500
Zn  0.500  0.000  0.000
Cu  0.000  0.500  0.000
Pd  0.500  0.500  0.500


(2)
Material: Hf2GeRh2
Method: DFT, GGA-PBE
State: optimized geometry

Energy relative to the elements, eV/atom: -0.510
Space-group type: P4/mbm (127)
ΔE to the lowest computed polymorph, meV/atom: 199.8

Cell lengths 7.706, 7.706, 3.106 Å; angles 90.00, 90.00, 90.00 degrees
Fractional positions:
Rh  0.133  0.633  0.500
Rh  0.633  0.867  0.500
Rh  0.867  0.367  0.500
Rh  0.367  0.133  0.500
Ge  0.000  0.000  0.000
Ge  0.500  0.500  0.000
Hf  0.340  0.840  0.000
Hf  0.840  0.660  0.000
Hf  0.660  0.160  0.000
Hf  0.160  0.340  0.000


(3)
Material: Y3Ho7Tl2
Method: DFT, GGA-PBE
State: optimized geometry

Energy relative to the elements, eV/atom: -0.025
Space-group type: P2/m (10)

Cell lengths 3.608, 5.595, 18.312 Å; angles 93.51, 90.00, 90.00 degrees
Fractional positions:
Y  0.500  0.500  0.000
Y  0.000  0.224  0.366
Y  0.000  0.776  0.634
Ho  0.500  0.742  0.459
Ho  0.500  0.258  0.541
Ho  0.000  0.666  0.149
Ho  0.000  0.000  0.000
Ho  0.000  0.334  0.851
Ho  0.500  0.833  0.830
Ho  0.500  0.167  0.170
Tl  0.500  0.705  0.292
Tl  0.500  0.295  0.708


(4)
Material: LaCrS2Cl
Method: DFT, GGA-PBE
State: optimized geometry

Space-group type: P4/mmm (123)
ΔE to the lowest computed polymorph, meV/atom: 758.8
Formation energy from raw total energies, eV/atom: -0.481

Cell lengths 5.536, 5.536, 5.439 Å; angles 90.00, 90.00, 90.00 degrees
Each line ends with the local moment (μB).
Fractional positions:
Cr  0.500  0.500  0.500  4.28
S  0.000  0.500  0.000  -0.25
S  0.500  0.000  0.000  -0.25
Cl  0.000  0.000  0.500  0.01
La  0.000  0.000  0.000  -0.01


(5)
Material: ScBrO2F
Method: DFT, GGA-PBE
State: optimized geometry

Space-group type: P4/mmm (123)
Formation energy from raw total energies, eV/atom: -0.389

Cell lengths 3.941, 3.941, 5.017 Å; angles 90.00, 90.00, 90.00 degrees
Each line ends with the local moment (μB).
Fractional positions:
Sc  0.500  0.500  0.500  -0.71
O  0.000  0.500  0.000  0.01
O  0.500  0.000  0.000  0.01
Br  0.000  0.000  0.000  0.00
F  0.000  0.000  0.500  -0.01


(6)
Material: AcTbHoEr
Method: DFT, GGA-PBE
State: optimized geometry

Energy relative to the elements, eV/atom: 0.126
Space-group type: F-43m (216)
ΔE to the lowest computed polymorph, meV/atom: 56.2

Cell lengths 5.807, 5.807, 5.807 Å; angles 60.00, 60.00, 60.00 degrees
Fractional positions:
Ac  0.250  0.250  0.250
Tb  0.750  0.750  0.750
Ho  0.000  0.000  0.000
Er  0.500  0.500  0.500


(7)
Material: ErAl2Fe2Ge
Method: DFT, GGA-PBE
State: optimized geometry

Energy relative to the elements, eV/atom: -0.114
Space-group type: P4/mmm (123)

Cell lengths 4.376, 4.376, 5.526 Å; angles 90.00, 90.00, 90.00 degrees
Each line ends with the local moment (μB).
Fractional positions:
Er  0.000  0.000  0.500  -0.06
Al  0.500  0.500  0.746  -0.03
Al  0.500  0.500  0.254  -0.03
Fe  0.500  0.000  0.000  1.58
Fe  0.000  0.500  0.000  1.58
Ge  0.000  0.000  0.000  -0.07